# 1
# Li2CeCd2Sn2 PBE-GGA relaxed
data_Li2CeCd2Sn2
_cell_length_a 8.814
_cell_length_b 8.814
_cell_length_c 8.814
_cell_angle_alpha 31.00
_cell_angle_beta 31.00
_cell_angle_gamma 31.00
_space_group_name_H-M_alt 'P 1'
_space_group_IT_number 1
_space_group_name_Hall 'P 1'
loop_
_atom_site_label
_atom_site_fract_x
_atom_site_fract_y
_atom_site_fract_z
Li1 0.144 0.144 0.144
Li2 0.856 0.856 0.856
Ce1 0.000 0.000 0.000
Cd1 0.442 0.442 0.442
Cd2 0.558 0.558 0.558
Sn1 0.264 0.264 0.264
Sn2 0.736 0.736 0.736
# * symmetry: R-3m (166)
# * uncorrected energy: -3.207 eV per atom
# * calculated formation energy: -0.407 eV/atom
# * mass density: 6.35 Mg/m³
# * D(E_F): 7.24 states/eV/f.u.



# 2
# CuTcNCl2 PBE-GGA relaxed
data_CuTcNCl2
_cell_length_a 5.086
_cell_length_b 5.086
_cell_length_c 3.590
_cell_angle_alpha 90.00
_cell_angle_beta 90.00
_cell_angle_gamma 90.00
_space_group_name_H-M_alt 'P 1'
_space_group_IT_number 1
_space_group_name_Hall 'P 1'
loop_
_atom_site_label
_atom_site_fract_x
_atom_site_fract_y
_atom_site_fract_z
Cu1 0.000 0.000 0.000
Tc1 0.500 0.500 0.500
N1 0.000 0.000 0.500
Cl1 0.000 0.500 0.000
Cl2 0.500 0.000 0.000
# * symmetry: P4/mmm (123)
# * uncorrected energy: -4.275 eV per atom
# * mass density: 4.41 Mg/m³
# * formation energy (no corrections): 1.022 eV/atom
# * D(E_F): 2.07 states/eV/f.u.